No. 1
A plane-wave DFT calculation with PBE-GGA was carried out for a relaxed TiZnPb2O5 crystal.

As for the crystal system: orthorhombic. As for the energy relative to the elements, uncorrected: -1.71 eV per atom. The calculation puts the final energy at -6.3107 eV per atom.

abc: 3.199 7.366 11.544
angles: 90.00 90.00 102.54
Element x y z (fractional)
Ti 0.783 0.566 0.533
Ti 0.217 0.434 0.033
Pb 0.842 0.685 0.820
Pb 0.158 0.315 0.320
Pb 0.064 0.128 0.665
Pb 0.936 0.872 0.165
O 0.692 0.383 0.919
O 0.720 0.439 0.139
O 0.661 0.322 0.490
O 0.943 0.885 0.537
O 0.339 0.678 0.990
O 0.488 0.976 0.786
O 0.308 0.617 0.419
O 0.512 0.024 0.286
O 0.057 0.115 0.037
O 0.280 0.561 0.639
Zn 0.449 0.898 0.435
Zn 0.551 0.102 0.935

---

No. 2
A plane-wave DFT calculation with PBE-GGA was carried out for a relaxed Zr3TiPb4O12 crystal.

The value obtained for the relative energy among the computed polymorphs is 4 meV/atom. As for the crystal system: triclinic. As for the energy relative to the elements, uncorrected: -2.39 eV per atom. The calculation puts the final energy at -7.7844 eV per atom.

abc: 5.867 5.908 10.175
angles: 107.09 89.64 119.23
Element x y z (fractional)
O 0.470 0.513 0.520
O 0.773 0.013 0.772
O 0.767 0.003 0.222
O 0.784 0.486 0.755
O 0.992 0.511 0.475
O 0.479 0.010 0.997
O 0.289 0.007 0.263
O 0.977 0.498 0.008
O 0.970 0.014 0.514
O 0.503 0.492 0.976
O 0.274 0.999 0.738
O 0.298 0.506 0.257
Pb 0.177 0.403 0.746
Pb 0.697 0.393 0.221
Pb 0.443 0.901 0.490
Pb 0.937 0.881 0.980
Zr 0.354 0.703 0.117
Zr 0.104 0.211 0.370
Zr 0.846 0.708 0.621
Ti 0.590 0.195 0.866

---

No. 3
A plane-wave DFT calculation with PBE-GGA was carried out for a relaxed ZrTiPb2O6 crystal.

The value obtained for the relative energy among the computed polymorphs is 0 meV/atom. As for the crystal system: tetragonal. As for the energy relative to the elements, uncorrected: -2.37 eV per atom. The calculation puts the final energy at -7.7271 eV per atom.

abc: 5.680 5.680 4.471
angles: 90.00 90.00 90.00
Element x y z (fractional)
Ti 0.000 0.000 0.538
O 0.758 0.758 0.637
O 0.500 0.500 0.100
O 0.242 0.242 0.637
O 0.242 0.758 0.637
O 0.000 0.000 0.146
O 0.758 0.242 0.637
Zr 0.500 0.500 0.543
Pb 0.000 0.500 0.981
Pb 0.500 0.000 0.981

---

No. 4
A plane-wave DFT calculation with PBE-GGA was carried out for a relaxed Zr3TiPb4O12 crystal.

The value obtained for the relative energy among the computed polymorphs is 0 meV/atom. As for the crystal system: monoclinic. As for the energy relative to the elements, uncorrected: -2.39 eV per atom. The calculation puts the final energy at -7.7884 eV per atom.

abc: 11.697 4.292 5.877
angles: 88.69 90.00 90.00
Element x y z (fractional)
O 0.621 0.981 0.748
O 0.000 0.472 0.003
O 0.379 0.981 0.748
O 0.365 0.979 0.251
O 0.880 0.978 0.246
O 0.883 0.972 0.771
O 0.761 0.509 0.495
O 0.239 0.509 0.495
O 0.500 0.508 0.987
O 0.120 0.978 0.246
O 0.117 0.972 0.771
O 0.635 0.979 0.251
Ti 0.000 0.056 0.026
Zr 0.500 0.036 0.028
Zr 0.245 0.038 0.524
Zr 0.755 0.038 0.524
Pb 0.500 0.594 0.575
Pb 0.000 0.596 0.568
Pb 0.238 0.601 0.061
Pb 0.762 0.601 0.061

---

No. 5
A plane-wave DFT calculation with PBE-GGA was carried out for a relaxed Zr3Ti2Pb5O15 crystal.

The value obtained for the relative energy among the computed polymorphs is 10 meV/atom. As for the crystal system: trigonal. As for the energy relative to the elements, uncorrected: -2.36 eV per atom. The calculation puts the final energy at -7.7363 eV per atom.

abc: 12.616 12.616 12.616
angles: 26.73 26.73 26.73
Element x y z (fractional)
O 0.504 0.999 0.999
O 0.718 0.195 0.195
O 0.316 0.792 0.792
O 0.195 0.195 0.718
O 0.195 0.718 0.195
O 0.606 0.606 0.101
O 0.101 0.606 0.606
O 0.999 0.999 0.504
O 0.388 0.388 0.918
O 0.918 0.388 0.388
O 0.606 0.101 0.606
O 0.999 0.504 0.999
O 0.388 0.918 0.388
O 0.792 0.316 0.792
O 0.792 0.792 0.316
Pb 0.684 0.684 0.684
Pb 0.884 0.884 0.884
Pb 0.281 0.281 0.281
Pb 0.490 0.490 0.490
Pb 0.088 0.088 0.088
Zr 0.397 0.397 0.397
Zr 0.592 0.592 0.592
Zr 0.995 0.995 0.995
Ti 0.192 0.192 0.192
Ti 0.794 0.794 0.794

---

No. 6
A plane-wave DFT calculation with PBE-GGA was carried out for a relaxed Zr3Ti2Pb5O15 crystal.

The value obtained for the relative energy among the computed polymorphs is 4 meV/atom. As for the crystal system: monoclinic. As for the energy relative to the elements, uncorrected: -2.37 eV per atom. The calculation puts the final energy at -7.7422 eV per atom.

abc: 9.178 9.178 7.308
angles: 75.83 75.83 37.20
Element x y z (fractional)
O 0.490 0.490 0.504
O 0.302 0.302 0.311
O 0.914 0.397 0.402
O 0.700 0.700 0.711
O 0.791 0.314 0.804
O 0.098 0.597 0.608
O 0.987 0.514 0.995
O 0.697 0.194 0.213
O 0.091 0.091 0.121
O 0.892 0.892 0.900
O 0.397 0.914 0.402
O 0.194 0.697 0.213
O 0.597 0.098 0.608
O 0.314 0.791 0.804
O 0.514 0.987 0.995
Zr 0.201 0.201 0.173
Zr 0.599 0.599 0.572
Zr 0.000 0.000 0.969
Ti 0.803 0.803 0.761
Ti 0.404 0.404 0.358
Pb 0.800 0.800 0.220
Pb 0.994 0.994 0.434
Pb 0.613 0.613 0.020
Pb 0.212 0.212 0.624
Pb 0.395 0.395 0.821

---

No. 7
A plane-wave DFT calculation with PBE-GGA was carried out for a relaxed ZrTi2PbO crystal.

As for the crystal system: tetragonal. As for the energy relative to the elements, uncorrected: -1.00 eV per atom. The calculation puts the final energy at -7.6004 eV per atom.

abc: 4.198 4.198 4.709
angles: 90.00 90.00 90.00
Element x y z (fractional)
Ti 0.000 0.500 0.000
Ti 0.500 0.000 0.000
Zr 0.000 0.000 0.500
O 0.000 0.000 0.000
Pb 0.500 0.500 0.500

---

No. 8
A plane-wave DFT calculation with PBE-GGA was carried out for a relaxed Zr3Ti2Pb5O15 crystal.

The value obtained for the relative energy among the computed polymorphs is 0 meV/atom. As for the crystal system: monoclinic. As for the energy relative to the elements, uncorrected: -2.37 eV per atom. The calculation puts the final energy at -7.7462 eV per atom.

abc: 14.623 14.623 4.431
angles: 89.89 89.89 22.59
Element x y z (fractional)
O 0.711 0.711 0.118
O 0.508 0.007 0.613
O 0.903 0.903 0.070
O 0.304 0.304 0.118
O 0.112 0.112 0.070
O 0.811 0.307 0.606
O 0.424 0.899 0.608
O 0.708 0.203 0.606
O 0.307 0.811 0.606
O 0.007 0.508 0.613
O 0.508 0.508 0.068
O 0.590 0.116 0.609
O 0.899 0.424 0.608
O 0.203 0.708 0.606
O 0.116 0.590 0.609
Ti 0.710 0.710 0.515
Ti 0.305 0.305 0.515
Pb 0.210 0.210 0.960
Pb 0.007 0.007 0.947
Pb 0.610 0.610 0.952
Pb 0.804 0.804 0.961
Pb 0.404 0.404 0.952
Zr 0.507 0.507 0.515
Zr 0.111 0.111 0.517
Zr 0.903 0.903 0.517

---

No. 9
A plane-wave DFT calculation with PBE-GGA was carried out for a relaxed ZrTiPb2O6 crystal.

The value obtained for the relative energy among the computed polymorphs is 8 meV/atom. As for the crystal system: triclinic. As for the energy relative to the elements, uncorrected: -2.36 eV per atom. The calculation puts the final energy at -7.7193 eV per atom.

abc: 4.207 4.255 8.024
angles: 89.74 89.82 87.99
Element x y z (fractional)
Ti 0.506 0.513 0.770
O 0.569 0.088 0.773
O 0.576 0.592 0.008
O 0.049 0.592 0.275
O 0.574 0.061 0.275
O 0.071 0.584 0.773
O 0.575 0.591 0.535
Pb 0.976 0.977 0.523
Pb 0.977 0.978 0.003
Zr 0.533 0.537 0.270

---

No. 10
A plane-wave DFT calculation with PBE-GGA was carried out for a relaxed ZrTi2Pb3O9 crystal.

As for the crystal system: monoclinic. As for the energy relative to the elements, uncorrected: -2.34 eV per atom. The calculation puts the final energy at -7.6808 eV per atom.

abc: 6.067 6.067 7.221
angles: 97.15 97.15 54.86
Element x y z (fractional)
O 0.552 0.552 0.984
O 0.877 0.391 0.665
O 0.875 0.875 0.684
O 0.391 0.877 0.665
O 0.217 0.695 0.323
O 0.695 0.217 0.323
O 0.208 0.208 0.326
O 0.046 0.541 0.000
O 0.541 0.046 0.000
Zr 0.009 0.009 0.531
Pb 0.328 0.328 0.725
Pb 0.986 0.986 0.040
Pb 0.653 0.653 0.375
Ti 0.682 0.682 0.861
Ti 0.336 0.336 0.197

---

No. 11
A plane-wave DFT calculation with PBE-GGA was carried out for a relaxed ZrTi2Pb3O9 crystal.

As for the crystal system: orthorhombic. As for the energy relative to the elements, uncorrected: -2.34 eV per atom. The calculation puts the final energy at -7.6798 eV per atom.

abc: 3.958 4.656 11.781
angles: 90.00 90.00 90.00
Element x y z (fractional)
O 0.000 0.150 0.663
O 0.000 0.634 0.823
O 0.500 0.628 0.662
O 0.000 0.634 0.177
O 0.000 0.638 0.500
O 0.500 0.650 0.000
O 0.000 0.107 0.000
O 0.000 0.150 0.337
O 0.500 0.628 0.338
Ti 0.000 0.526 0.338
Ti 0.000 0.526 0.662
Pb 0.500 0.968 0.174
Pb 0.500 0.966 0.500
Pb 0.500 0.968 0.826
Zr 0.000 0.526 0.000

---

No. 12
A plane-wave DFT calculation with PBE-GGA was carried out for a relaxed ZrTiPb2O6 crystal.

The value obtained for the relative energy among the computed polymorphs is 14 meV/atom. As for the crystal system: trigonal. As for the energy relative to the elements, uncorrected: -2.35 eV per atom. The calculation puts the final energy at -7.7130 eV per atom.

abc: 5.862 5.862 5.862
angles: 59.23 59.23 59.23
Element x y z (fractional)
Zr 0.013 0.013 0.013
Pb 0.781 0.781 0.781
Pb 0.284 0.284 0.284
O 0.259 0.729 0.259
O 0.244 0.743 0.743
O 0.743 0.244 0.743
O 0.743 0.743 0.244
O 0.259 0.259 0.729
O 0.729 0.259 0.259
Ti 0.513 0.513 0.513

---

- Number 4 is which compound?
  Zr3TiPb4O12